A relaxed structure of KBaTl3, computed with PBE.

formation enthalpy at 0 K = 255 meV/atom
polymorph energy (0 for the lowest one) = 0 meV/atom
space-group type = Pm-3m (221)

abc: 6.0600 6.0600 6.0600
angles: 90.00 90.00 90.00
With the nearest neighbours (Å) after each atom.
Positions (direct):
K (0.0000, 0.0000, 0.0000)  6 Tl 3.03
Ba (0.5000, 0.5000, 0.5000)  12 Tl 4.29
Tl (0.0000, 0.0000, 0.5000)  2 K 3.03
Tl (0.0000, 0.5000, 0.0000)  2 K 3.03
Tl (0.5000, 0.0000, 0.0000)  2 K 3.03